DFT (GGA-PBE) results for a relaxed structure of Tm3Cd3InGa2.

Values from the calculation:
Uncorrected energy in eV/atom: -3.2198
Calculated volume in Å³/cell: 204
M_tot in μB/f.u.: 0.00

a = 7.2385 Å, b = 7.2385 Å, c = 4.4865 Å
α = 90.00°, β = 90.00°, γ = 120.00°
Closest atoms and distances in Å follow each position.
Space group P-62m (No. 189)
One atom of each set of equivalent atoms:
Tm 0.0000 0.4396 0.0000  4 Ga 3.10, 2 Cd 3.15, 1 In 3.18
Cd 0.0000 0.7444 0.5000  2 Ga 2.74, 2 In 2.91
In 0.0000 0.0000 0.0000  6 Cd 2.91, 3 Tm 3.18
Ga 0.3333 0.6667 0.5000  3 Cd 2.74



DFT (GGA-PBE) results for a relaxed structure of Tm3Cd3In2Ga.

Values from the calculation:
Uncorrected energy in eV/atom: -3.1175
Calculated volume in Å³/cell: 213
M_tot in μB/f.u.: 0.00

a = 7.4075 Å, b = 7.4075 Å, c = 4.4894 Å
α = 90.00°, β = 90.00°, γ = 120.00°
Closest atoms and distances in Å follow each position.
Space group P-62m (No. 189)
One atom of each set of equivalent atoms:
Tm 0.0000 0.4191 0.0000  1 Ga 3.10, 4 In 3.16, 2 Cd 3.37
Cd 0.0000 0.7587 0.5000  2 Ga 2.87, 2 In 2.87, 2 Cd 3.10
In 0.3333 0.6667 0.5000  3 Cd 2.87, 6 Tm 3.16
Ga 0.0000 0.0000 0.0000  6 Cd 2.87, 3 Tm 3.10



DFT (GGA-PBE) results for a relaxed structure of Y2Cd2InGa.

Values from the calculation:
Uncorrected energy in eV/atom: -3.6877
Calculated volume in Å³/cell: 629
M_tot in μB/f.u.: 0.00

a = 11.7759 Å, b = 4.8115 Å, c = 11.7820 Å
α = 90.00°, β = 109.49°, γ = 90.00°
Closest atoms and distances in Å follow each position.
Space group Pm (No. 6)
One atom of each set of equivalent atoms:
Y 0.0000 0.0000 0.0000  4 Cd 2.92-2.93
Y 0.1209 0.5000 0.3723  4 Cd 2.94-3.02
Y 0.2440 0.0000 0.7452  4 Cd 2.92-3.00
Y 0.3752 0.5000 0.1202  4 Cd 2.96-2.97
Y 0.5046 0.0000 0.4955  4 Cd 2.92-2.99
Y 0.6301 0.5000 0.8774  4 Cd 2.96-2.99
Y 0.7524 0.0000 0.2497  4 Cd 2.89-2.92
Y 0.8748 0.5000 0.6206  4 Cd 2.89-2.98
Cd 0.1210 0.5000 0.6217  4 Y 2.89-2.94, 3 Ga 2.93-2.94, 1 In 2.99
Cd 0.2462 0.0000 0.9936  4 Y 2.92-2.97, 2 Ga 2.92, 2 In 2.97-2.98
Cd 0.3772 0.5000 0.3718  1 Ga 2.93, 4 Y 2.95-3.02, 3 In 2.95-2.96
Cd 0.4992 0.0000 0.7474  4 In 2.94-2.97, 4 Y 2.99-3.00
Cd 0.6297 0.5000 0.1283  2 Ga 2.89-2.92, 4 Y 2.92-2.97, 2 In 2.98
Cd 0.7527 0.0000 0.4951  4 Y 2.89-2.94, 3 Ga 2.89-2.94, 1 In 2.99
Cd 0.8810 0.5000 0.8753  2 Ga 2.88-2.95, 4 Y 2.92-2.98, 2 In 2.97
Cd 0.9974 0.0000 0.2481  4 Y 2.89-2.94, 3 Ga 2.92-2.93, 1 In 2.98
In 0.2500 0.0000 0.2473  4 Cd 2.95-2.98
In 0.3749 0.5000 0.6222  4 Cd 2.94-2.99
In 0.5008 0.0000 0.9983  4 Cd 2.95-2.98
In 0.7514 0.0000 0.7481  4 Cd 2.97-2.99
Ga 0.1245 0.5000 0.8720  4 Cd 2.88-2.94
Ga 0.6264 0.5000 0.3726  4 Cd 2.89-2.94
Ga 0.8756 0.5000 0.1235  4 Cd 2.92-2.95
Ga 0.9991 0.0000 0.4969  4 Cd 2.89-2.93



DFT (GGA-PBE) results for a relaxed structure of CdGa3Ir2.

Values from the calculation:
Uncorrected energy in eV/atom: -4.7724
Calculated volume in Å³/cell: 99
M_tot in μB/f.u.: 0.00

a = 4.2461 Å, b = 4.2461 Å, c = 6.3590 Å
α = 90.00°, β = 90.00°, γ = 120.00°
Closest atoms and distances in Å follow each position.
Space group P-3m1 (No. 164)
One atom of each set of equivalent atoms:
Cd 0.0000 0.0000 0.0000  8 Ga 2.87-3.18
Ga 0.0000 0.0000 0.5000  6 Ir 2.63
Ga 0.3333 0.6667 0.7660  4 Ir 2.56-2.65
Ir 0.3333 0.6667 0.3491  7 Ga 2.56-2.65



DFT (GGA-PBE) results for a relaxed structure of CdGaIr2.

Values from the calculation:
Uncorrected energy in eV/atom: -5.1516
Calculated volume in Å³/cell: 257
M_tot in μB/f.u.: 0.66

a = 6.3552 Å, b = 6.3552 Å, c = 6.3552 Å
α = 90.00°, β = 90.00°, γ = 90.00°
Closest atoms and distances in Å follow each position.
Space group F-43m (No. 216)
One atom of each set of equivalent atoms:
Cd 0.0000 0.0000 0.0000  4 Ir 2.75, 4 Ga 2.75
Ga 0.2500 0.2500 0.7500  4 Cd 2.75, 4 Ir 2.75
Ir 0.0000 0.0000 0.5000  4 Ir 2.75, 4 Ga 2.75
Ir 0.2500 0.2500 0.2500  4 Cd 2.75, 4 Ir 2.75



DFT (GGA-PBE) results for a relaxed structure of LaCdGa2Ir.

Values from the calculation:
Uncorrected energy in eV/atom: -4.5966
Calculated volume in Å³/cell: 207
M_tot in μB/f.u.: 0.01

a = 4.3538 Å, b = 4.3538 Å, c = 10.9107 Å
α = 90.00°, β = 90.00°, γ = 90.00°
Closest atoms and distances in Å follow each position.
Space group I-4m2 (No. 119)
One atom of each set of equivalent atoms:
La 0.0000 0.0000 0.0000  8 Ga 3.34, 4 Cd 3.49, 4 Ir 3.49
Cd 0.0000 0.5000 0.2500  4 Ga 2.61
Ga 0.0000 0.0000 0.3824  1 Ga 2.57, 2 Cd 2.61, 2 Ir 2.61
Ir 0.0000 0.5000 0.7500  4 Ga 2.61



DFT (GGA-PBE) results for a relaxed structure of Li4CdGa2Ir.

Values from the calculation:
Uncorrected energy in eV/atom: -3.2771
Calculated volume in Å³/cell: 119
M_tot in μB/f.u.: 0.00

a = 4.3757 Å, b = 4.3757 Å, c = 6.2248 Å
α = 90.00°, β = 90.00°, γ = 90.00°
Closest atoms and distances in Å follow each position.
Space group P-4m2 (No. 115)
One atom of each set of equivalent atoms:
Li 0.0000 0.0000 0.0000  4 Li 2.73, 4 Ga 2.82
Li 0.0000 0.5000 0.7365  4 Li 2.64-2.73, 2 Ir 2.64, 2 Cd 2.73, 1 Ga 2.80
Li 0.5000 0.5000 0.5000  4 Ga 2.56, 4 Li 2.64
Cd 0.5000 0.5000 0.0000  4 Li 2.73, 4 Ga 2.82
Ga 0.0000 0.5000 0.2865  5 Li 2.56-2.82, 2 Ir 2.56, 2 Cd 2.82
Ir 0.0000 0.0000 0.5000  4 Ga 2.56, 4 Li 2.64



DFT (GGA-PBE) results for a relaxed structure of Zr3CdGa2NiIr2.

Values from the calculation:
Uncorrected energy in eV/atom: -6.8769
Calculated volume in Å³/cell: 315
M_tot in μB/f.u.: 0.00

a = 3.3891 Å, b = 12.6477 Å, c = 7.3427 Å
α = 90.00°, β = 90.00°, γ = 90.00°
Closest atoms and distances in Å follow each position.
Space group Amm2 (No. 38)
One atom of each set of equivalent atoms:
Zr 0.0000 0.0000 0.0000  1 Ni 2.71, 4 Ir 2.83
Zr 0.0000 0.2041 0.5960  4 Ir 2.74-2.84, 2 Ga 2.99
Cd 0.5000 0.0000 0.6462  2 Ni 2.65, 2 Ir 2.84
Ga 0.5000 0.1288 0.2683  2 Ni 2.46, 2 Ir 2.72-2.76
Ni 0.0000 0.0000 0.3694  4 Ga 2.46, 2 Cd 2.65, 1 Zr 2.71
Ir 0.5000 0.1699 0.8998  2 Ga 2.72-2.76, 6 Zr 2.74-2.84, 1 Cd 2.84



DFT (GGA-PBE) results for a relaxed structure of KCdGaSn2.

Values from the calculation:
Uncorrected energy in eV/atom: -2.7690
Calculated volume in Å³/cell: 283

a = 4.8535 Å, b = 4.8535 Å, c = 12.0040 Å
α = 90.00°, β = 90.00°, γ = 90.00°
Closest atoms and distances in Å follow each position.
Space group I4mm (No. 107)
One atom of each set of equivalent atoms:
K 0.0000 0.0000 0.0000  4 Cd 3.66, 4 Ga 3.69, 8 Sn 3.81-3.91
Cd 0.0000 0.0000 0.6062  1 Ga 2.64
Ga 0.0000 0.0000 0.3862  1 Cd 2.64, 4 Sn 2.89
Sn 0.0000 0.5000 0.2554  2 Ga 2.89, 2 Cd 3.02



DFT (GGA-PBE) results for a relaxed structure of LaCdGa4.

Values from the calculation:
Uncorrected energy in eV/atom: -3.3651
Calculated volume in Å³/cell: 126
M_tot in μB/f.u.: 0.00

a = 4.6029 Å, b = 4.6029 Å, c = 6.8837 Å
α = 90.00°, β = 90.00°, γ = 120.00°
Closest atoms and distances in Å follow each position.
Space group P-6m2 (No. 187)
One atom of each set of equivalent atoms:
La 0.0000 0.0000 0.0000  12 Ga 3.29-3.30, 2 Cd 3.44
Cd 0.0000 0.0000 0.5000  12 Ga 3.05-3.06
Ga 0.3333 0.6667 0.2806  3 Ga 2.66
Ga 0.6667 0.3333 0.2839  4 Ga 2.66-2.98



DFT (GGA-PBE) results for a relaxed structure of LaMgCdGa2.

Values from the calculation:
Uncorrected energy in eV/atom: -3.1668
Calculated volume in Å³/cell: 225
M_tot in μB/f.u.: 0.00

a = 4.4202 Å, b = 4.4202 Å, c = 11.5222 Å
α = 90.00°, β = 90.00°, γ = 90.00°
Closest atoms and distances in Å follow each position.
Space group I-4m2 (No. 119)
One atom of each set of equivalent atoms:
La 0.0000 0.0000 0.0000  8 Ga 3.36, 4 Cd 3.63, 4 Mg 3.63
Mg 0.0000 0.5000 0.7500  4 Ga 2.76
Cd 0.0000 0.5000 0.2500  4 Ga 2.76
Ga 0.0000 0.0000 0.3932  1 Ga 2.46



DFT (GGA-PBE) results for a relaxed structure of Li2CdGa.

Values from the calculation:
Uncorrected energy in eV/atom: -2.2399
Calculated volume in Å³/cell: 131

a = 4.4463 Å, b = 4.5081 Å, c = 6.5343 Å
α = 90.00°, β = 90.00°, γ = 90.00°
Closest atoms and distances in Å follow each position.
Space group Pmma (No. 51)
One atom of each set of equivalent atoms:
Li 0.2500 0.0000 0.1137  4 Li 2.67-2.79, 2 Ga 2.70, 2 Cd 2.75
Li 0.2500 0.5000 0.3650  2 Ga 2.77, 4 Li 2.79-2.84, 2 Cd 2.87
Cd 0.2500 0.0000 0.6377  4 Li 2.75-2.87, 2 Ga 2.78, 2 Cd 2.86
Ga 0.2500 0.5000 0.8869  2 Ga 2.67, 4 Li 2.70-2.77, 2 Cd 2.78